[1]
## PmErIr (PBE)

Data for a relaxed PmErIr crystal.

- Electronic total energy: -5.919 eV per atom
- Symmetry: No. 216
- Mass density: 11.3 Mg/m³
- Magnetization: 0.00 μB per formula unit

Lattice parameters (Å, degrees): 4.7209 4.7209 4.7209 60.00 60.00 60.00
Sites, in units of the cell vectors:
Er1 0.0000 0.0000 0.0000
Pm1 0.7500 0.7500 0.7500
Ir1 0.2500 0.2500 0.2500

---

[2]
## PrErIr (PBE)

Data for a relaxed PrErIr crystal.

- Electronic total energy: -5.923 eV per atom
- Symmetry: No. 216
- Mass density: 11.0 Mg/m³
- Magnetization: 0.00 μB per formula unit

Lattice parameters (Å, degrees): 4.7501 4.7501 4.7501 60.00 60.00 60.00
Sites, in units of the cell vectors:
Pr1 0.7500 0.7500 0.7500
Ir1 0.2500 0.2500 0.2500
Er1 0.0000 0.0000 0.0000

---

[3]
## Pr3Er3Te2Ir (PBE)

Data for a relaxed Pr3Er3Te2Ir crystal.

- Electronic total energy: -5.700 eV per atom
- Symmetry: No. 189
- Mass density: 9.0 Mg/m³
- Magnetization: 0.07 μB per formula unit

Lattice parameters (Å, degrees): 8.4774 8.4774 4.0817 90.00 90.00 120.00
Sites, in units of the cell vectors:
Er1 0.2336 0.2336 0.5000
Er2 0.7664 0.0000 0.5000
Er3 0.0000 0.7664 0.5000
Pr1 0.0000 0.4024 0.0000
Pr2 0.4024 0.0000 0.0000
Pr3 0.5976 0.5976 0.0000
Ir1 0.0000 0.0000 0.0000
Te1 0.6667 0.3333 0.5000
Te2 0.3333 0.6667 0.5000

---

[4]
## Pr3Er3Te2Ir (PBE)

Data for a relaxed Pr3Er3Te2Ir crystal.

- Electronic total energy: -5.519 eV per atom
- Symmetry: No. 189
- Mass density: 9.0 Mg/m³
- Magnetization: 0.15 μB per formula unit

Lattice parameters (Å, degrees): 8.6105 8.6105 3.9526 90.00 90.00 120.00
Sites, in units of the cell vectors:
Te1 0.6667 0.3333 0.5000
Te2 0.3333 0.6667 0.5000
Pr1 0.7514 0.0000 0.5000
Pr2 0.0000 0.7514 0.5000
Pr3 0.2486 0.2486 0.5000
Ir1 0.0000 0.0000 0.0000
Er1 0.0000 0.4015 0.0000
Er2 0.5985 0.5985 0.0000
Er3 0.4015 0.0000 0.0000